No. 1
Computed, not measured: a geometry-optimized CaAcIr4 structure at the GGA-PBE level of DFT.

Unit cell a=5.4808 b=5.4808 c=5.4808 alpha=60.00 beta=60.00 gamma=60.00
With the nearest neighbours (Å) after each atom.
Fractional coordinates of all 6 atoms:
1 Ac 0.0000 0.0000 0.0000  12 Ir 3.21, 4 Ca 3.36
2 Ir 0.6245 0.6245 0.1265  6 Ir 2.73-2.75
3 Ir 0.6245 0.1265 0.6245  6 Ir 2.73-2.75
4 Ir 0.6245 0.6245 0.6245  6 Ir 2.73-2.75
5 Ir 0.1265 0.6245 0.6245  6 Ir 2.73-2.75
6 Ca 0.2500 0.2500 0.2500  12 Ir 3.21, 4 Ac 3.36

**Calculated formation energy**: -48.4 kJ per mole of atoms
**D(E_F)**: 7.8 states/eV per cell



No. 2
Computed, not measured: a geometry-optimized La3Ho6ErTm2 structure at the GGA-PBE level of DFT.

Unit cell a=6.1932 b=6.1932 c=11.8198 alpha=95.02 beta=95.02 gamma=120.01
With the nearest neighbours (Å) after each atom.
Fractional coordinates of all 12 atoms:
1 La 0.1669 0.8331 0.5000  6 La 3.57-3.58, 6 Ho 3.64
2 La 0.8331 0.1669 0.5000  6 La 3.57-3.58, 6 Ho 3.64
3 La 0.5000 0.5000 0.5000  6 La 3.57-3.58, 6 Ho 3.63-3.64
4 Ho 0.9195 0.5861 0.7572  2 Tm 3.50, 1 Er 3.50, 6 Ho 3.57-3.58, 3 La 3.64
5 Ho 0.7471 0.7471 0.2429  2 Tm 3.50, 1 Er 3.50, 6 Ho 3.57-3.58, 3 La 3.63-3.64
6 Ho 0.0805 0.4139 0.2428  2 Tm 3.50, 1 Er 3.50, 6 Ho 3.57-3.58, 3 La 3.64
7 Ho 0.5861 0.9195 0.7572  2 Tm 3.50, 1 Er 3.50, 6 Ho 3.57-3.58, 3 La 3.64
8 Ho 0.2529 0.2529 0.7571  2 Tm 3.50, 1 Er 3.50, 6 Ho 3.57-3.58, 3 La 3.63-3.64
9 Ho 0.4139 0.0805 0.2428  2 Tm 3.50, 1 Er 3.50, 6 Ho 3.57-3.58, 3 La 3.64
10 Er 0.0000 0.0000 0.0000  6 Ho 3.50, 6 Tm 3.58
11 Tm 0.3333 0.6667 0.0000  6 Ho 3.50, 3 Tm 3.58, 3 Er 3.58
12 Tm 0.6667 0.3333 0.0000  6 Ho 3.50, 3 Tm 3.58, 3 Er 3.58

**Calculated formation energy**: 2.6 kJ per mole of atoms
**D(E_F)**: 17.2 states/eV per cell



No. 3
Computed, not measured: a geometry-optimized Ac2LaAgS5 structure at the GGA-PBE level of DFT.

Unit cell a=4.1990 b=8.8929 c=12.6425 alpha=90.00 beta=90.00 gamma=103.66
With the nearest neighbours (Å) after each atom.
Fractional coordinates of all 18 atoms:
1 Ac 0.8782 0.7564 0.8040  8 S 3.03-3.27
2 Ac 0.1163 0.2326 0.6827  8 S 3.01-3.21
3 Ac 0.1218 0.2436 0.3040  8 S 3.03-3.27
4 Ac 0.8837 0.7674 0.1827  8 S 3.01-3.21
5 La 0.8109 0.6219 0.4995  6 S 2.76-2.92
6 La 0.1891 0.3781 0.9995  6 S 2.76-2.92
7 Ag 0.5162 0.0324 0.9778  4 S 2.50-2.79
8 Ag 0.4838 0.9676 0.4778  4 S 2.50-2.79
9 S 0.3556 0.7113 0.0002  1 Ag 2.79, 1 La 2.88
10 S 0.6967 0.3934 0.8399  2 La 2.91, 3 Ac 3.17-3.21
11 S 0.5034 0.0068 0.7810  1 Ag 2.50
12 S 0.2959 0.5918 0.6587  2 La 2.92, 3 Ac 3.12-3.13
13 S 0.9594 0.9188 0.5800  2 Ag 2.50, 1 La 2.76
14 S 0.6444 0.2887 0.5002  1 Ag 2.79, 1 La 2.88
15 S 0.3033 0.6066 0.3399  2 La 2.91, 3 Ac 3.17-3.21
16 S 0.4966 0.9932 0.2810  1 Ag 2.50
17 S 0.7041 0.4082 0.1587  2 La 2.92, 3 Ac 3.12-3.13
18 S 0.0406 0.0812 0.0800  2 Ag 2.50, 1 La 2.76

**E_form (uncorrected)**: -1574.6 kJ/mol of formula units



No. 4
Computed, not measured: a geometry-optimized IrRuCl4 structure at the GGA-PBE level of DFT.

Unit cell a=5.5737 b=5.5737 c=5.5737 alpha=60.00 beta=60.00 gamma=60.00
With the nearest neighbours (Å) after each atom.
Fractional coordinates of all 6 atoms:
1 Ir 0.7500 0.7500 0.7500  12 Cl 3.27, 4 Ru 3.41
2 Ru 0.0000 0.0000 0.0000  12 Cl 3.27, 4 Ir 3.41
3 Cl 0.8749 0.3750 0.3750  6 Cl 2.79
4 Cl 0.3750 0.3750 0.8749  6 Cl 2.79
5 Cl 0.3750 0.8749 0.3750  6 Cl 2.79
6 Cl 0.3750 0.3750 0.3750  6 Cl 2.79

**E_form (uncorrected)**: 1005.4 kJ/mol of formula units
**D(E_F)**: 8.0 states/eV per cell



No. 5
Computed, not measured: a geometry-optimized LaBRu2C structure at the GGA-PBE level of DFT.

Unit cell a=3.6828 b=5.7394 c=7.3033 alpha=90.00 beta=90.00 gamma=108.71
With the nearest neighbours (Å) after each atom.
Fractional coordinates of all 10 atoms:
1 La 0.4473 0.8946 0.7500  4 C 2.66, 1 B 2.94
2 La 0.5527 0.1054 0.2500  4 C 2.66, 1 B 2.94
3 B 0.7179 0.4359 0.7500  4 Ru 2.32
4 B 0.2821 0.5641 0.2500  4 Ru 2.32
5 Ru 0.1706 0.3412 0.9308  1 C 1.92
6 Ru 0.8294 0.6588 0.0692  1 C 1.92
7 Ru 0.1706 0.3412 0.5692  1 C 1.92
8 Ru 0.8294 0.6588 0.4308  1 C 1.92
9 C 0.0000 0.0000 0.0000  2 Ru 1.92
10 C 0.0000 0.0000 0.5000  2 Ru 1.92

**Calculated formation energy**: -16.1 kJ per mole of atoms
**D(E_F)**: 7.0 states/eV per cell



No. 6
Computed, not measured: a geometry-optimized SrGa3Pd structure at the GGA-PBE level of DFT.

Unit cell a=6.2050 b=6.2050 c=6.0366 alpha=90.00 beta=90.00 gamma=116.67
With the nearest neighbours (Å) after each atom.
Fractional coordinates of all 10 atoms:
1 Sr 0.2345 0.7655 0.7500  12 Ga 3.21-3.49, 3 Pd 3.34-3.53
2 Sr 0.7655 0.2345 0.2500  12 Ga 3.21-3.49, 3 Pd 3.34-3.53
3 Ga 0.6615 0.3385 0.7500  1 Pd 2.53, 4 Ga 2.69
4 Ga 0.3385 0.6615 0.2500  1 Pd 2.53, 4 Ga 2.69
5 Ga 0.7202 0.7202 0.0000  2 Pd 2.59, 3 Ga 2.69-2.87
6 Ga 0.7202 0.7202 0.5000  2 Pd 2.59, 3 Ga 2.69-2.87
7 Ga 0.2798 0.2798 0.0000  2 Pd 2.59, 3 Ga 2.69-2.87
8 Ga 0.2798 0.2798 0.5000  2 Pd 2.59, 3 Ga 2.69-2.87
9 Pd 0.9008 0.0992 0.7500  5 Ga 2.53-2.59
10 Pd 0.0992 0.9008 0.2500  5 Ga 2.53-2.59

**Calculated formation energy**: -59.5 kJ per mole of atoms
**D(E_F)**: 3.6 states/eV per cell